[1]
Here is a PBEsol-optimized structure of TaMn2H2 from the Alexandria database. Energies are from SCAN.

Computed properties:
symmetry = I4/mmm
energy = -22.113 eV per atom

abc: 3.1559 3.1559 4.9884
angles: 108.44 108.44 90.00
Sites, in units of the cell vectors:
H  0.2500  0.7500  0.5000
H  0.7500  0.2500  0.5000
Mn  0.3423  0.3423  0.6846
Mn  0.6577  0.6577  0.3154
Ta  0.0000  0.0000  0.0000

[2]
Here is a PBEsol-optimized structure of Mn2TcH2 from the Alexandria database. Energies are from SCAN.

Computed properties:
symmetry = I4/mmm
energy = -15.709 eV per atom

abc: 2.6748 2.6748 6.0042
angles: 102.87 102.87 90.00
Sites, in units of the cell vectors:
H  0.2500  0.7500  0.5000
H  0.7500  0.2500  0.5000
Mn  0.3471  0.3471  0.6942
Mn  0.6529  0.6529  0.3058
Tc  0.0000  0.0000  0.0000

[3]
Here is a PBEsol-optimized structure of MnTc3H from the Alexandria database. Energies are from SCAN.

Computed properties:
symmetry = Pm-3m
energy = -25.333 eV per atom

abc: 3.8146 3.8146 3.8146
angles: 90.00 90.00 90.00
Sites, in units of the cell vectors:
H  0.0000  0.0000  0.0000
Mn  0.5000  0.5000  0.5000
Tc  0.0000  0.5000  0.0000
Tc  0.0000  0.0000  0.5000
Tc  0.5000  0.0000  0.0000

[4]
Here is a PBEsol-optimized structure of MnTe2H from the Alexandria database. Energies are from SCAN.

Computed properties:
symmetry = I-42d
energy = -23.908 eV per atom

abc: 5.8080 5.8080 6.6129
angles: 116.05 116.05 90.00
Sites, in units of the cell vectors:
H  0.7500  0.2500  0.5000
H  0.5000  0.5000  0.0000
Te  0.4188  0.8750  0.2500
Te  0.8312  0.3750  0.2500
Te  0.1250  0.1688  0.7500
Te  0.6250  0.5812  0.7500
Mn  0.2500  0.7500  0.5000
Mn  0.0000  0.0000  0.0000

[5]
Here is a PBEsol-optimized structure of Ti2MnH2 from the Alexandria database. Energies are from SCAN.

Computed properties:
symmetry = I4/mmm
energy = -11.858 eV per atom

abc: 2.9810 2.9810 5.6235
angles: 105.37 105.37 90.00
Sites, in units of the cell vectors:
H  0.2500  0.7500  0.5000
H  0.7500  0.2500  0.5000
Mn  0.0000  0.0000  0.0000
Ti  0.3631  0.3631  0.7262
Ti  0.6369  0.6369  0.2738

[6]
Here is a PBEsol-optimized structure of Ti2MnH from the Alexandria database. Energies are from SCAN.

Computed properties:
symmetry = I-42d
energy = -13.445 eV per atom

abc: 4.9353 4.9353 4.9353
angles: 104.45 112.04 112.04
Sites, in units of the cell vectors:
H  0.5000  0.2500  0.7500
H  0.0000  0.5000  0.5000
Mn  0.5000  0.7500  0.2500
Mn  0.0000  0.0000  0.0000
Ti  0.9271  0.5521  0.1250
Ti  0.0729  0.1979  0.6250
Ti  0.4271  0.8750  0.8021
Ti  0.5729  0.3750  0.4479

[7]
Here is a PBEsol-optimized structure of YMn3H from the Alexandria database. Energies are from SCAN.

Computed properties:
symmetry = Pm-3m
energy = -15.305 eV per atom

abc: 5.0276 5.0276 5.0276
angles: 90.00 90.00 90.00
Sites, in units of the cell vectors:
Y  0.0000  0.0000  0.0000
H  0.5000  0.5000  0.5000
Mn  0.0000  0.5000  0.0000
Mn  0.0000  0.0000  0.5000
Mn  0.5000  0.0000  0.0000

[8]
Here is a PBEsol-optimized structure of YMnH3 from the Alexandria database. Energies are from SCAN.

Computed properties:
symmetry = Pm-3m
energy = -11.723 eV per atom

abc: 3.4837 3.4837 3.4837
angles: 90.00 90.00 90.00
Sites, in units of the cell vectors:
Y  0.5000  0.5000  0.5000
H  0.0000  0.5000  0.0000
H  0.0000  0.0000  0.5000
H  0.5000  0.0000  0.0000
Mn  0.0000  0.0000  0.0000

[9]
Here is a PBEsol-optimized structure of Zr2MnH2 from the Alexandria database. Energies are from SCAN.

Computed properties:
symmetry = I4/mmm
energy = -17.702 eV per atom

abc: 3.1576 3.1576 6.2573
angles: 104.61 104.61 90.00
Sites, in units of the cell vectors:
H  0.2500  0.7500  0.5000
H  0.7500  0.2500  0.5000
Mn  0.0000  0.0000  0.0000
Zr  0.3671  0.3671  0.7342
Zr  0.6329  0.6329  0.2658

[10]
Here is a PBEsol-optimized structure of Zr3MnH from the Alexandria database. Energies are from SCAN.

Computed properties:
symmetry = Pm-3m
energy = -22.935 eV per atom

abc: 4.3441 4.3441 4.3441
angles: 90.00 90.00 90.00
Sites, in units of the cell vectors:
H  0.0000  0.0000  0.0000
Mn  0.5000  0.5000  0.5000
Zr  0.0000  0.5000  0.0000
Zr  0.0000  0.0000  0.5000
Zr  0.5000  0.0000  0.0000

[11]
Here is a PBEsol-optimized structure of MoH8N2O4 from the Alexandria database. Energies are from SCAN.

Computed properties:
symmetry = P2_1/c
energy = -8.101 eV per atom

abc: 6.2816 7.5444 11.0776
angles: 90.00 97.21 90.00
Sites, in units of the cell vectors:
Mo  0.2709  0.1311  0.6924
Mo  0.7709  0.3689  0.1924
Mo  0.7291  0.8689  0.3076
Mo  0.2291  0.6311  0.8076
H  0.8661  0.4193  0.5919
H  0.3661  0.0807  0.0919
H  0.1339  0.5807  0.4081
H  0.6339  0.9193  0.9081
H  0.7143  0.4796  0.4619
H  0.2143  0.0204  0.9619
H  0.2857  0.5204  0.5381
H  0.7857  0.9796  0.0381
H  0.7719  0.2591  0.4841
H  0.2719  0.2409  0.9841
H  0.2281  0.7409  0.5159
H  0.7281  0.7591  0.0159
H  0.5993  0.3592  0.5686
H  0.0993  0.1408  0.0686
H  0.4007  0.6408  0.4314
H  0.9007  0.8592  0.9314
H  0.6282  0.2708  0.8487
H  0.1282  0.2292  0.3487
H  0.3718  0.7292  0.1513
H  0.8718  0.7708  0.6513
H  0.6573  0.4851  0.8026
H  0.1573  0.0149  0.3026
H  0.3427  0.5149  0.1974
H  0.8427  0.9851  0.6974
H  0.7668  0.4254  0.9428
H  0.2668  0.0746  0.4428
H  0.2332  0.5746  0.0572
H  0.7332  0.9254  0.5572
H  0.8719  0.3361  0.8179
H  0.3719  0.1639  0.3179
H  0.1281  0.6639  0.1821
H  0.6281  0.8361  0.6821
N  0.7399  0.3781  0.5273
N  0.2399  0.1219  0.0273
N  0.2601  0.6219  0.4727
N  0.7601  0.8781  0.9727
N  0.7343  0.3800  0.8531
N  0.2343  0.1200  0.3531
N  0.2657  0.6200  0.1469
N  0.7657  0.8800  0.6469
O  0.0173  0.1652  0.7418
O  0.5173  0.3348  0.2418
O  0.9827  0.8348  0.2582
O  0.4827  0.6652  0.7582
O  0.2511  0.9560  0.5859
O  0.7511  0.5440  0.0859
O  0.7489  0.0440  0.4141
O  0.2489  0.4560  0.9141
O  0.4741  0.0868  0.8149
O  0.9741  0.4132  0.3149
O  0.5259  0.9132  0.1851
O  0.0259  0.5868  0.6851
O  0.3515  0.3216  0.6168
O  0.8515  0.1784  0.1168
O  0.6485  0.6784  0.3832
O  0.1485  0.8216  0.8832

[12]
Here is a PBEsol-optimized structure of MoH8N2O4 from the Alexandria database. Energies are from SCAN.

Computed properties:
symmetry = C2/m
energy = -8.100 eV per atom

abc: 6.6775 7.1276 7.6795
angles: 115.73 90.00 117.93
Sites, in units of the cell vectors:
Mo  0.8317  0.6633  0.2756
Mo  0.1683  0.3367  0.7244
H  0.5878  0.1755  0.2089
H  0.4122  0.8245  0.7911
H  0.4423  0.8846  0.1607
H  0.5577  0.1154  0.8393
H  0.3184  0.8897  0.6295
H  0.4287  0.1103  0.3705
H  0.6816  0.1103  0.3705
H  0.5713  0.8897  0.6295
H  0.8626  0.7253  0.9216
H  0.1374  0.2747  0.0784
H  0.1002  0.4500  0.3018
H  0.6502  0.5500  0.6982
H  0.8998  0.5500  0.6982
H  0.3498  0.4500  0.3018
H  0.0920  0.1840  0.2526
H  0.9080  0.8160  0.7474
N  0.5331  0.0663  0.2773
N  0.4669  0.9337  0.7227
N  0.8310  0.6620  0.7660
N  0.1690  0.3380  0.2340
O  0.9302  0.8603  0.1728
O  0.0698  0.1397  0.8272
O  0.9289  0.2903  0.5770
O  0.6386  0.7097  0.4230
O  0.0711  0.7097  0.4230
O  0.3614  0.2903  0.5770
O  0.6780  0.3560  0.0841
O  0.3220  0.6440  0.9159